# 1
The following is a DFT calculation (PBE) of Fe2PtAu after structural relaxation.

## Properties
Final energy, eV per atom: -6.49
Symmetry: No. 12
Total moment, μB/cell: 6.087
Energy above the lowest structure with this stoichiometry, kJ per mole of atoms: 11.2
Formation energy from the elements, eV per formula unit: 0.3

abc: 4.6831 4.6831 4.8231
angles: 80.34 80.34 34.53
Closest atoms and distances in Å follow each position.
Element x y z (fractional)
Au (0.2500, 0.2500, 0.2500)  6 Fe 2.75-2.77, 2 Au 2.78, 4 Pt 2.78
Fe (0.0024, 0.0024, 0.9845)  6 Fe 2.66-2.91, 3 Pt 2.69-2.70, 3 Au 2.75-2.77
Fe (0.4976, 0.4976, 0.5155)  6 Fe 2.66-2.91, 3 Pt 2.69-2.70, 3 Au 2.75-2.77
Pt (0.7500, 0.7500, 0.7500)  6 Fe 2.69-2.70, 2 Pt 2.78, 4 Au 2.78

---

# 2
The following is a DFT calculation (PBE) of FePtAu2 after structural relaxation.

## Properties
Final energy, eV per atom: -4.92
Symmetry: No. 122
Total moment, μB/cell: 7.420
Formation energy from the elements, eV per formula unit: 1.4

abc: 7.2890 7.2890 5.8026
angles: 51.09 51.09 90.00
Closest atoms and distances in Å follow each position.
Element x y z (fractional)
Au (0.6101, 0.1250, 0.2500)  2 Fe 2.59, 2 Au 2.67, 2 Pt 2.74
Au (0.1399, 0.6250, 0.2500)  2 Fe 2.59, 2 Au 2.67, 2 Pt 2.74
Au (0.3750, 0.3899, 0.7500)  2 Fe 2.59, 2 Au 2.67, 2 Pt 2.74
Au (0.8750, 0.8601, 0.7500)  2 Fe 2.59, 2 Au 2.67, 2 Pt 2.74
Fe (0.5000, 0.5000, 0.0000)  4 Au 2.59, 2 Pt 2.67
Fe (0.2500, 0.7500, 0.5000)  4 Au 2.59, 2 Pt 2.67
Pt (0.0000, 0.0000, 0.0000)  2 Fe 2.67, 4 Au 2.74
Pt (0.7500, 0.2500, 0.5000)  2 Fe 2.67, 4 Au 2.74

---

# 3
The following is a DFT calculation (PBE) of Fe2PtAu after structural relaxation.

## Properties
Final energy, eV per atom: -6.59
Symmetry: No. 25
Total moment, μB/cell: 6.293
Energy above the lowest structure with this stoichiometry, kJ per mole of atoms: 1.9
Formation energy from the elements, eV per formula unit: -0.1

abc: 4.4356 2.7697 4.7460
angles: 89.99 90.00 90.00
Closest atoms and distances in Å follow each position.
Element x y z (fractional)
Au (0.5000, 0.6250, 0.8043)  8 Fe 2.72-2.78, 2 Au 2.77, 2 Pt 2.81
Fe (0.0000, 0.1250, 0.9593)  4 Pt 2.67-2.83, 4 Au 2.72, 4 Fe 2.73-2.77
Fe (0.5000, 0.1250, 0.2965)  4 Pt 2.70, 4 Au 2.72-2.78, 4 Fe 2.73-2.77
Pt (0.0000, 0.6249, 0.4399)  8 Fe 2.67-2.83, 2 Pt 2.77, 2 Au 2.81

---

# 4
The following is a DFT calculation (PBE) of Fe2Pt8Au after structural relaxation.

## Properties
Final energy, eV per atom: -6.35
Symmetry: No. 12
Total moment, μB/cell: 8.552
Formation energy from the elements, eV per formula unit: -1.4

abc: 3.9202 6.3045 7.3813
angles: 105.12 105.40 90.00
Closest atoms and distances in Å follow each position.
Element x y z (fractional)
Au (0.5000, 0.0000, 0.0000)  12 Pt 2.81-2.90
Fe (0.2270, 0.6475, 0.4540)  10 Pt 2.66-2.75, 2 Fe 2.90
Fe (0.7730, 0.3525, 0.5460)  10 Pt 2.66-2.75, 2 Fe 2.90
Pt (0.5998, 0.4641, 0.1996)  3 Fe 2.71-2.74, 8 Pt 2.74-3.00, 1 Au 2.89
Pt (0.3165, 0.0869, 0.6330)  3 Fe 2.72-2.75, 8 Pt 2.73-2.84, 1 Au 2.81
Pt (0.1460, 0.2066, 0.2920)  3 Fe 2.66-2.71, 6 Pt 2.73-2.93, 2 Au 2.90
Pt (0.0488, 0.7223, 0.0975)  1 Fe 2.70, 9 Pt 2.77-2.99, 2 Au 2.84
Pt (0.8540, 0.7934, 0.7080)  3 Fe 2.66-2.71, 6 Pt 2.73-2.93, 2 Au 2.90
Pt (0.6835, 0.9131, 0.3670)  3 Fe 2.72-2.75, 8 Pt 2.73-2.84, 1 Au 2.81
Pt (0.4002, 0.5359, 0.8004)  3 Fe 2.71-2.74, 8 Pt 2.74-3.00, 1 Au 2.89
Pt (0.9512, 0.2777, 0.9025)  1 Fe 2.70, 9 Pt 2.77-2.99, 2 Au 2.84

---

# 5
The following is a DFT calculation (PBE) of FePtAu2 after structural relaxation.

## Properties
Final energy, eV per atom: -5.19
Symmetry: No. 47
Total moment, μB/cell: 3.390
Formation energy from the elements, eV per formula unit: 0.3

abc: 2.8885 4.0163 5.5687
angles: 90.00 90.00 90.00
Closest atoms and distances in Å follow each position.
Element x y z (fractional)
Au (0.0000, 0.0000, 0.0067)  4 Au 2.71-2.89, 4 Fe 2.82, 4 Pt 2.86
Au (0.0000, 0.0000, 0.4933)  4 Au 2.71-2.89, 4 Fe 2.82, 4 Pt 2.86
Fe (0.5000, 0.5000, 0.2500)  2 Pt 2.78, 8 Au 2.82, 2 Fe 2.89
Pt (0.5000, 0.5000, 0.7500)  2 Fe 2.78, 8 Au 2.86, 2 Pt 2.89

---

# 6
The following is a DFT calculation (PBE) of Fe2PtAu after structural relaxation.

## Properties
Final energy, eV per atom: -6.50
Symmetry: No. 166
Total moment, μB/cell: 5.822
Energy above the lowest structure with this stoichiometry, kJ per mole of atoms: 10.1
Formation energy from the elements, eV per formula unit: 0.2

abc: 9.0809 9.0809 9.0809
angles: 17.43 17.43 17.43
Closest atoms and distances in Å follow each position.
Element x y z (fractional)
Au (0.7500, 0.7500, 0.7500)  6 Au 2.75, 6 Fe 2.79
Fe (0.9977, 0.9977, 0.9977)  3 Pt 2.69, 6 Fe 2.75, 3 Au 2.79
Fe (0.5023, 0.5023, 0.5023)  3 Pt 2.69, 6 Fe 2.75, 3 Au 2.79
Pt (0.2500, 0.2500, 0.2500)  6 Fe 2.69, 6 Pt 2.75

---

# 7
The following is a DFT calculation (PBE) of Fe2PtAu after structural relaxation.

## Properties
Final energy, eV per atom: -6.48
Symmetry: No. 216
Total moment, μB/cell: 6.219
Energy above the lowest structure with this stoichiometry, kJ per mole of atoms: 12.6
Formation energy from the elements, eV per formula unit: 0.3

abc: 4.3751 4.3751 4.3751
angles: 60.00 60.00 60.00
Closest atoms and distances in Å follow each position.
Element x y z (fractional)
Au (0.5000, 0.5000, 0.5000)  4 Fe 2.68, 4 Pt 2.68
Fe (0.0000, 0.0000, 0.0000)  4 Pt 2.68, 4 Fe 2.68
Fe (0.2500, 0.2500, 0.2500)  4 Fe 2.68, 4 Au 2.68
Pt (0.7500, 0.7500, 0.7500)  4 Au 2.68, 4 Fe 2.68

---

# 8
The following is a DFT calculation (PBE) of FePtAu2 after structural relaxation.

## Properties
Final energy, eV per atom: -5.21
Symmetry: No. 139
Total moment, μB/cell: 3.556
Formation energy from the elements, eV per formula unit: 0.2

abc: 5.0072 5.0072 5.0072
angles: 133.65 133.61 67.66
Closest atoms and distances in Å follow each position.
Element x y z (fractional)
Au (0.9999, 0.9999, 0.0000)  4 Au 2.79, 4 Fe 2.86-2.87, 4 Pt 2.87
Au (0.5001, 0.5001, 0.0000)  4 Au 2.79, 4 Fe 2.86-2.87, 4 Pt 2.87
Fe (0.7500, 0.2500, 0.5000)  4 Pt 2.79, 8 Au 2.86-2.87
Pt (0.2500, 0.7500, 0.5000)  4 Fe 2.79, 8 Au 2.87

---

# 9
The following is a DFT calculation (PBE) of Fe2Pt9Au after structural relaxation.

## Properties
Final energy, eV per atom: -6.35
Symmetry: No. 123
Total moment, μB/cell: 9.448
Formation energy from the elements, eV per formula unit: -1.6

abc: 3.9512 3.9512 11.8507
angles: 90.00 90.00 90.00
Closest atoms and distances in Å follow each position.
Element x y z (fractional)
Fe (0.0000, 0.0000, 0.3322)  12 Pt 2.70-2.80
Fe (0.0000, 0.0000, 0.6678)  12 Pt 2.70-2.80
Pt (0.5000, 0.5000, 0.0000)  4 Au 2.79, 8 Pt 2.88
Pt (0.5000, 0.5000, 0.3385)  8 Pt 2.75, 4 Fe 2.79
Pt (0.5000, 0.5000, 0.6615)  8 Pt 2.75, 4 Fe 2.79
Pt (0.5000, 0.0000, 0.1774)  2 Fe 2.70, 8 Pt 2.75-2.88, 2 Au 2.88
Pt (0.5000, 0.0000, 0.5000)  8 Pt 2.75-2.79, 4 Fe 2.80
Pt (0.5000, 0.0000, 0.8226)  2 Fe 2.70, 8 Pt 2.75-2.88, 2 Au 2.88
Pt (0.0000, 0.5000, 0.1774)  2 Fe 2.70, 8 Pt 2.75-2.88, 2 Au 2.88
Pt (0.0000, 0.5000, 0.5000)  8 Pt 2.75-2.79, 4 Fe 2.80
Pt (0.0000, 0.5000, 0.8226)  2 Fe 2.70, 8 Pt 2.75-2.88, 2 Au 2.88
Au (0.0000, 0.0000, 0.0000)  12 Pt 2.79-2.88

---

# 10
The following is a DFT calculation (PBE) of Fe2PtAu after structural relaxation.

## Properties
Final energy, eV per atom: -6.54
Symmetry: No. 44
Total moment, μB/cell: 6.225
Energy above the lowest structure with this stoichiometry, kJ per mole of atoms: 6.7
Formation energy from the elements, eV per formula unit: 0.1

abc: 5.2362 5.2362 5.2362
angles: 147.95 129.08 61.45
Closest atoms and distances in Å follow each position.
Element x y z (fractional)
Au (0.2372, 0.7372, 0.5000)  6 Fe 2.69-2.72, 2 Au 2.89, 4 Pt 2.90-3.00
Fe (0.9815, 0.9815, 0.0000)  2 Fe 2.43, 4 Pt 2.69, 2 Au 2.72
Fe (0.7648, 0.2648, 0.5000)  2 Fe 2.43, 2 Pt 2.66, 4 Au 2.69
Pt (0.5166, 0.5166, 0.0000)  6 Fe 2.66-2.69, 2 Pt 2.89, 2 Au 2.90

---

# 11
The following is a DFT calculation (PBE) of FePtAu2 after structural relaxation.

## Properties
Final energy, eV per atom: -5.15
Symmetry: No. 10
Total moment, μB/cell: 3.393
Formation energy from the elements, eV per formula unit: 0.5

abc: 4.7983 2.8319 4.8416
angles: 88.12 90.00 90.00
Closest atoms and distances in Å follow each position.
Element x y z (fractional)
Au (0.0000, 0.0065, 0.0035)  6 Au 2.75-2.89, 2 Fe 2.78, 2 Pt 2.80
Au (0.0000, 0.4935, 0.4965)  6 Au 2.75-2.89, 2 Fe 2.78, 2 Pt 2.80
Fe (0.5000, 0.2500, 0.2500)  4 Pt 2.76-2.84, 4 Au 2.78, 2 Fe 2.83
Pt (0.5000, 0.7500, 0.7500)  4 Fe 2.76-2.84, 4 Au 2.80, 2 Pt 2.83

---

# 12
The following is a DFT calculation (PBE) of FePtAu2 after structural relaxation.

## Properties
Final energy, eV per atom: -5.15
Symmetry: No. 65
Total moment, μB/cell: 3.322
Formation energy from the elements, eV per formula unit: 0.4

abc: 4.8948 4.8948 2.9193
angles: 90.00 90.00 111.55
Closest atoms and distances in Å follow each position.
Element x y z (fractional)
Au (0.0000, 0.0000, 0.0000)  4 Au 2.75-2.92, 4 Pt 2.85, 4 Fe 2.85
Au (0.5000, 0.5000, 0.0000)  4 Au 2.75-2.92, 4 Fe 2.85, 4 Pt 2.85
Fe (0.5000, 0.0000, 0.5000)  2 Pt 2.75, 8 Au 2.85, 2 Fe 2.92
Pt (0.0000, 0.5000, 0.5000)  2 Fe 2.75, 8 Au 2.85, 2 Pt 2.92

---

# 13
The following is a DFT calculation (PBE) of FePtAu2 after structural relaxation.

## Properties
Final energy, eV per atom: -5.26
Symmetry: No. 6
Total moment, μB/cell: 3.522
Formation energy from the elements, eV per formula unit: 0.0

abc: 3.8047 2.8673 6.6018
angles: 64.11 90.00 90.00
Closest atoms and distances in Å follow each position.
Element x y z (fractional)
Au (0.0000, 0.0063, 0.9938)  2 Fe 2.83-3.11, 4 Pt 2.86-2.87, 6 Au 2.87
Au (0.5000, 0.2366, 0.2629)  1 Pt 2.75, 4 Fe 2.82-2.83, 6 Au 2.87
Fe (0.0000, 0.4820, 0.5179)  4 Pt 2.68, 5 Au 2.82-2.83, 2 Fe 2.87
Pt (0.5000, 0.7751, 0.7254)  4 Fe 2.68, 5 Au 2.75-2.87, 2 Pt 2.87

---

# 14
The following is a DFT calculation (PBE) of FePtAu2 after structural relaxation.

## Properties
Final energy, eV per atom: -5.17
Symmetry: No. 166
Total moment, μB/cell: 2.812
Formation energy from the elements, eV per formula unit: 0.4

abc: 9.3552 9.3552 9.3552
angles: 17.44 17.44 17.44
Closest atoms and distances in Å follow each position.
Element x y z (fractional)
Au (0.9959, 0.9959, 0.9959)  3 Fe 2.73, 6 Au 2.84, 3 Pt 2.92
Au (0.5041, 0.5041, 0.5041)  3 Fe 2.73, 6 Au 2.84, 3 Pt 2.92
Fe (0.2500, 0.2500, 0.2500)  6 Au 2.73, 6 Fe 2.84
Pt (0.7500, 0.7500, 0.7500)  6 Pt 2.84, 6 Au 2.92